No. 1
A relaxed structure of LiYSn, computed with PBE-GGA.

Calculated values
VASP energy = -0.3498 Ry per atom

Structure (POSCAR):
```
LiYSn
1.0
4.424 0.000 0.000
0.000 7.340 0.000
0.000 0.000 4.424
Li Y Sn
2 2 2
direct
0.500 0.500 0.500 Li
0.000 0.500 0.000 Li
0.000 0.172 0.500 Y
0.500 0.828 0.000 Y
0.500 0.258 0.000 Sn
0.000 0.742 0.500 Sn
```

No. 2
A relaxed structure of NaVSb2Ir, computed with PBE-GGA.

Calculated values
formation energy from raw total energies = 1.72 eV per atom
VASP energy = -0.2788 Ry per atom

Structure (POSCAR):
```
NaVSb2Ir
1.0
5.070 0.000 0.000
0.000 4.624 0.000
0.000 0.000 5.070
Na V Ir Sb
1 1 1 2
direct
0.000 0.000 0.000 Na
0.500 0.500 0.500 V
0.000 0.500 0.000 Ir
0.500 0.000 0.000 Sb
0.000 0.000 0.500 Sb
```

No. 3
A relaxed structure of Tl3AsH2, computed with PBE-GGA.

Calculated values
VASP energy = -0.2060 Ry per atom

Structure (POSCAR):
```
Tl3AsH2
1.0
-0.969 2.440 4.772
3.465 -3.575 7.579
3.951 5.470 -0.104
Tl H As
6 4 2
direct
0.876 0.370 0.510 Tl
0.388 0.339 0.931 Tl
0.736 0.045 0.299 Tl
0.612 0.661 0.069 Tl
0.264 0.955 0.701 Tl
0.124 0.630 0.490 Tl
0.278 0.126 0.456 H
0.661 0.221 0.610 H
0.339 0.779 0.390 H
0.722 0.874 0.544 H
0.112 0.713 0.932 As
0.888 0.287 0.068 As
```

No. 4
A relaxed structure of In2TeP, computed with PBE-GGA.

Calculated values
formation energy from raw total energies = 0.28 eV per atom
VASP energy = -0.2370 Ry per atom

Structure (POSCAR):
```
In2TeP
1.0
-3.707 -4.902 0.098
2.349 -5.587 -1.024
1.203 4.909 3.498
P In Te
1 2 1
direct
0.250 0.750 0.500 P
0.000 0.000 0.000 In
0.500 0.500 0.000 In
0.750 0.250 0.500 Te
```

No. 5
A relaxed structure of Mg2Cr2Re, computed with PBE-GGA.

Calculated values
VASP energy = -0.4532 Ry per atom

Structure (POSCAR):
```
Mg2Cr2Re
1.0
3.029 0.000 0.000
0.000 3.029 0.000
1.515 1.515 9.130
Re Mg Cr
1 2 2
direct
0.000 0.000 0.000 Re
0.392 0.392 0.216 Mg
0.608 0.608 0.784 Mg
0.250 0.750 0.500 Cr
0.750 0.250 0.500 Cr
```

No. 6
A relaxed structure of LiPa2MnSe5, computed with PBE-GGA.

Calculated values
formation energy from raw total energies = -0.97 eV per atom
VASP energy = -0.4592 Ry per atom

Structure (POSCAR):
```
LiPa2MnSe5
1.0
4.235 0.000 0.000
-2.118 8.184 0.000
0.000 0.000 11.538
Se Pa Li Mn
10 4 2 2
direct
0.967 0.935 0.547 Se
0.663 0.326 0.506 Se
0.710 0.420 0.152 Se
0.690 0.380 0.828 Se
0.310 0.620 0.328 Se
0.505 0.011 0.275 Se
0.033 0.065 0.047 Se
0.495 0.989 0.775 Se
0.290 0.580 0.652 Se
0.337 0.674 0.006 Se
0.887 0.773 0.181 Pa
0.867 0.735 0.783 Pa
0.133 0.265 0.283 Pa
0.113 0.227 0.681 Pa
0.573 0.147 0.963 Li
0.427 0.853 0.463 Li
0.827 0.653 0.589 Mn
0.173 0.347 0.089 Mn
```